Below is an optimized crystal structure of Hf2CoPtPb, with properties calculated at the PBE level.

Calculated values
**SG**: P4/mmm
**Magnetic moment**: 1.959 μB per formula unit
**Energy relative to the elements**: 0.342 eV/atom

Structure (CIF):
```
data_Hf2CoPtPb
_chemical_formula_sum 'Hf2 Co1 Pt1 Pb1'
_cell_length_a 5.038
_cell_length_b 4.704
_cell_length_c 5.038
_cell_angle_alpha 90.00
_cell_angle_beta 90.00
_cell_angle_gamma 90.00
_space_group_name_H-M_alt 'P 1'
_space_group_IT_number 1
loop_
_space_group_symop_operation_xyz
'x,y,z'
loop_
_atom_site_label
_atom_site_fract_x
_atom_site_fract_y
_atom_site_fract_z
Hf1 0.000 0.000 0.500
Hf2 0.500 0.000 0.000
Pt1 0.000 0.000 0.000
Pb1 0.500 0.500 0.500
Co1 0.000 0.500 0.000
```